No. 1
Below is a relaxed structure of Nd6CoNi2, with properties calculated at the GGA-PBE level.

Output
As for the space group: P2_1/c (14). The calculation puts the formation energy from the elements at -1.190 eV per formula unit.

a = 6.618 Å, b = 7.257 Å, c = 12.038 Å
α = 90.00°, β = 121.30°, γ = 90.00°
Fractional positions:
Nd1 0.095 0.047 0.250
Nd2 0.095 0.453 0.750
Nd3 0.253 0.678 0.077
Nd4 0.253 0.822 0.577
Nd5 0.401 0.179 0.070
Nd6 0.401 0.321 0.570
Nd7 0.599 0.679 0.430
Nd8 0.599 0.821 0.930
Nd9 0.747 0.178 0.423
Nd10 0.747 0.322 0.923
Nd11 0.905 0.547 0.250
Nd12 0.905 0.953 0.750
Co1 0.000 0.000 0.000
Co2 0.000 0.500 0.500
Ni1 0.321 0.113 0.763
Ni2 0.321 0.387 0.263
Ni3 0.679 0.613 0.737
Ni4 0.679 0.887 0.237

No. 2
Below is a relaxed structure of Pu2CuGe3Au4, with properties calculated at the GGA-PBE level.

Output
As for the space group: P-4m2 (115). The calculation puts the formation energy from the elements at -2.766 eV per formula unit.

a = 4.374 Å, b = 4.374 Å, c = 10.684 Å
α = 90.00°, β = 90.00°, γ = 90.00°
Fractional positions:
Pu1 0.000 0.500 0.248
Pu2 0.500 0.000 0.752
Cu1 0.500 0.500 0.000
Ge1 0.000 0.000 0.000
Ge2 0.000 0.500 0.640
Ge3 0.500 0.000 0.360
Au1 0.000 0.000 0.500
Au2 0.000 0.500 0.872
Au3 0.500 0.000 0.128
Au4 0.500 0.500 0.500

No. 3
Below is a relaxed structure of Sm2BiIr, with properties calculated at the GGA-PBE level.

Output
As for the space group: P4/mmm (123). The excess energy over the best structure of this formula in the dataset comes out at 0 meV/atom. The calculation puts the formation energy from the elements at -2.693 eV per formula unit.

a = 3.556 Å, b = 3.556 Å, c = 8.275 Å
α = 90.00°, β = 90.00°, γ = 90.00°
Fractional positions:
Sm1 0.000 0.000 0.204
Sm2 0.000 0.000 0.796
Bi1 0.500 0.500 0.500
Ir1 0.500 0.500 0.000